9
Lattice="5.2606 0.2740 -0.0028 2.8622 4.3405 -0.0046 -0.0027 -0.0039 5.9627" Properties=species:S:1:pos:R:3 comment="CsAgH6Rh, optimized geometry, DFT PBE" final_energy_ev_per_fu=-31.54 magnetic_moment_mub_per_atom=0.0000 dos_at_fermi_per_ev_fu=0.892 pbc="T T T"
H 1.5968 1.9275 4.0487
H 3.9303 2.2335 4.1453
H 1.5818 1.8698 1.9108
H 2.5550 0.4335 4.0043
Rh 2.8197 1.6723 2.9775
Ag 5.3358 3.0203 2.9764
Cs 5.2412 0.2776 5.9582
H 3.9135 2.2532 1.8068
H 2.6402 0.4106 1.9600